#a
A relaxed Sm3DyHo4 crystal. Source: Alexandria, functional PBE.

Properties
- Space group: Immm, No. 71
- ρ: 8.1 Mg/m³
- N(E_F): 12.5 states/eV/f.u.

Geometry as extended XYZ:
```
8
Lattice="-1.733 5.805 6.470 1.733 -5.805 6.470 1.733 5.805 -6.470" Properties=species:S:1:pos:R:3 pbc="T T T"
Sm 0.000 0.000 0.000
Sm 1.733 0.000 3.324
Sm 0.000 5.805 3.146
Dy 0.000 0.000 6.470
Ho 1.733 2.948 -1.743
Ho 1.733 2.948 1.743
Ho 0.000 2.857 4.727
Ho 0.000 2.857 8.213
```

=====

#b
A relaxed Sm3DyHo4 crystal. Source: Alexandria, functional PBE.

Properties
- Space group: Pmn2_1, No. 31
- ρ: 8.1 Mg/m³
- N(E_F): 13.9 states/eV/f.u.

Geometry as extended XYZ:
```
16
Lattice="11.353 0.000 0.000 0.000 7.283 0.000 0.000 0.000 6.290" Properties=species:S:1:pos:R:3 pbc="T T T"
Sm 0.000 0.923 0.000
Sm 2.838 0.922 2.100
Sm 2.839 6.361 5.245
Sm 5.676 6.360 3.145
Sm 8.515 0.922 2.100
Sm 8.514 6.361 5.245
Dy 0.000 6.352 3.143
Dy 5.676 0.931 6.288
Ho 0.000 2.747 3.150
Ho 0.000 4.533 0.003
Ho 2.826 4.536 2.097
Ho 2.850 2.747 5.242
Ho 5.676 2.750 3.148
Ho 5.676 4.536 0.005
Ho 8.503 2.747 5.242
Ho 8.526 4.536 2.097
```

=====

Stability summary - winner: #b; margin: 116 meV/atom.

=====

#a
A relaxed Sm7Dy3Ho crystal. Source: Alexandria, functional PBE.

Properties
- Space group: C2/m, No. 12
- ρ: 7.6 Mg/m³
- N(E_F): 15.7 states/eV/f.u.

Geometry as extended XYZ:
```
11
Lattice="6.372 -5.628 0.000 6.372 5.628 0.000 -2.696 0.000 5.207" Properties=species:S:1:pos:R:3 pbc="T T T"
Sm 0.000 0.000 0.000
Sm 3.075 2.348 1.596
Sm 1.568 0.000 4.125
Sm 6.973 2.348 3.612
Sm 3.075 -2.348 1.596
Sm 8.481 0.000 1.083
Sm 6.973 -2.348 3.612
Dy 6.372 2.307 0.000
Dy 5.024 0.000 2.604
Dy 6.372 -2.307 0.000
Ho -1.348 0.000 2.604
```

=====

#b
A relaxed Sm7Dy3Ho crystal. Source: Alexandria, functional PBE.

Properties
- Space group: P2/m, No. 10
- ρ: 7.7 Mg/m³
- N(E_F): 15.3 states/eV/f.u.

Geometry as extended XYZ:
```
11
Lattice="7.048 0.000 0.000 0.000 5.612 0.000 -3.521 0.000 9.355" Properties=species:S:1:pos:R:3 pbc="T T T"
Sm 0.000 0.000 0.000
Sm -0.007 2.806 2.729
Sm 0.011 2.806 5.985
Sm -0.003 0.000 7.757
Sm 3.530 0.000 1.597
Sm 3.517 2.806 3.369
Sm 3.534 2.806 6.625
Dy -1.760 0.000 4.677
Dy 1.971 2.806 0.003
Dy 1.556 2.806 9.352
Ho 1.764 0.000 4.677
```

=====

Stability summary - winner: #b; margin: 118 meV/atom.

=====

#a
A relaxed Sm3Dy8Ho2 crystal. Source: Alexandria, functional PBE.

Properties
- Space group: C2/m, No. 12
- ρ: 8.3 Mg/m³
- N(E_F): 17.5 states/eV/f.u.

Geometry as extended XYZ:
```
13
Lattice="10.368 -2.515 0.000 10.368 2.515 0.000 -0.605 0.000 7.941" Properties=species:S:1:pos:R:3 pbc="T T T"
Sm 0.000 0.000 0.000
Sm 9.145 0.000 5.501
Sm 10.986 0.000 2.439
Dy 1.245 0.000 4.882
Dy 3.077 0.000 1.830
Dy 6.089 0.000 3.663
Dy 7.899 0.000 0.619
Dy 12.232 0.000 7.321
Dy 14.042 0.000 4.278
Dy 17.054 0.000 6.111
Dy 18.886 0.000 3.059
Ho 4.278 0.000 6.720
Ho 15.853 0.000 1.221
```

=====

#b
A relaxed Sm3Dy8Ho2 crystal. Source: Alexandria, functional PBE.

Properties
- Space group: P2/m, No. 10
- ρ: 8.0 Mg/m³
- N(E_F): 21.9 states/eV/f.u.

Geometry as extended XYZ:
```
13
Lattice="7.677 0.000 0.000 0.000 5.632 0.000 -3.830 0.000 10.027" Properties=species:S:1:pos:R:3 pbc="T T T"
Sm 0.000 0.000 0.000
Sm -1.604 2.816 10.027
Sm 5.451 2.816 0.001
Dy 0.002 2.816 2.697
Dy -1.602 0.000 7.846
Dy 0.008 2.816 6.600
Dy 2.232 0.000 2.183
Dy 1.614 0.000 7.844
Dy 3.839 2.816 3.427
Dy 5.449 0.000 2.182
Dy 3.844 2.816 7.330
Ho 0.005 0.000 4.840
Ho 3.842 0.000 5.187
```

=====

Stability summary - winner: #a; margin: 223 meV/atom.

=====

#a
A relaxed Sm12Dy5Ho2 crystal. Source: Alexandria, functional PBE.

Properties
- Space group: C2/m, No. 12
- ρ: 7.7 Mg/m³
- N(E_F): 26.4 states/eV/f.u.

Geometry as extended XYZ:
```
19
Lattice="7.729 -5.187 0.000 7.729 5.187 0.000 -0.322 0.000 7.959" Properties=species:S:1:pos:R:3 pbc="T T T"
Sm 0.741 0.000 1.666
Sm 4.558 2.397 5.615
Sm 6.057 2.841 0.890
Sm 9.080 2.841 7.069
Sm 5.396 0.000 3.071
Sm 10.578 2.397 2.344
Sm 4.558 -2.397 5.615
Sm 9.740 0.000 4.888
Sm 6.057 -2.841 0.890
Sm 9.080 -2.841 7.069
Sm 10.578 -2.397 2.344
Sm 14.396 0.000 6.293
Dy 2.164 0.000 4.676
Dy 3.954 0.000 0.102
Dy 7.729 0.000 0.000
Dy 11.183 0.000 7.857
Dy 12.972 0.000 3.283
Ho 7.568 2.652 3.980
Ho 7.568 -2.652 3.980
```

=====

#b
A relaxed Sm12Dy5Ho2 crystal. Source: Alexandria, functional PBE.

Properties
- Space group: C2/m, No. 12
- ρ: 7.7 Mg/m³
- N(E_F): 27.5 states/eV/f.u.

Geometry as extended XYZ:
```
19
Lattice="7.895 -4.626 0.000 7.895 4.626 0.000 -0.335 0.000 8.691" Properties=species:S:1:pos:R:3 pbc="T T T"
Sm 0.823 0.000 2.968
Sm 5.744 2.817 2.805
Sm 5.266 1.675 6.627
Sm 9.711 2.817 5.886
Sm 6.611 0.000 1.042
Sm 10.189 1.675 2.064
Sm 5.266 -1.675 6.627
Sm 8.845 0.000 7.650
Sm 5.744 -2.817 2.805
Sm 10.189 -1.675 2.064
Sm 9.711 -2.817 5.886
Sm 14.632 0.000 5.724
Dy 3.211 0.000 0.239
Dy 4.099 0.000 3.754
Dy 7.728 0.000 4.346
Dy 11.356 0.000 4.938
Dy 12.244 0.000 8.452
Ho 7.895 3.042 0.000
Ho 7.895 -3.042 0.000
```

=====

Stability summary - winner: #b; margin: 11 meV/atom.

=====

#a
A relaxed Sm5Dy12Ho2 crystal. Source: Alexandria, functional PBE.

Properties
- Space group: P-1, No. 2
- ρ: 8.3 Mg/m³
- N(E_F): 26.4 states/eV/f.u.

Geometry as extended XYZ:
```
19
Lattice="6.167 0.000 0.000 -0.014 9.430 0.000 -1.029 -2.041 10.438" Properties=species:S:1:pos:R:3 pbc="T T T"
Sm 0.000 0.000 0.000
Sm -0.009 4.022 9.883
Sm 1.027 -0.684 6.041
Sm 4.097 8.073 4.397
Sm 5.133 3.367 0.555
Dy 0.000 1.351 3.305
Dy -0.009 2.687 6.585
Dy 1.016 7.396 2.750
Dy 1.028 0.656 9.340
Dy 2.052 4.032 2.211
Dy 2.045 6.716 8.784
Dy 3.079 0.673 1.655
Dy 3.072 3.357 8.228
Dy 4.096 6.733 1.098
Dy 4.109 -0.006 7.688
Dy 5.133 4.703 3.853
Dy 5.124 6.038 7.133
Ho 2.042 5.364 5.493
Ho 3.082 2.025 4.945
```

=====

#b
A relaxed Sm5Dy12Ho2 crystal. Source: Alexandria, functional PBE.

Properties
- Space group: C2/m, No. 12
- ρ: 8.1 Mg/m³
- N(E_F): 24.9 states/eV/f.u.

Geometry as extended XYZ:
```
19
Lattice="7.791 -4.627 0.000 7.791 4.627 0.000 -0.350 0.000 8.622" Properties=species:S:1:pos:R:3 pbc="T T T"
Sm 0.000 0.000 0.000
Sm 3.575 0.000 0.610
Sm 4.393 0.000 4.114
Sm 10.839 0.000 4.507
Sm 11.657 0.000 8.011
Dy 5.398 2.966 2.247
Dy 1.000 0.000 3.231
Dy 5.476 1.774 7.140
Dy 9.834 2.966 6.375
Dy 9.756 1.774 1.482
Dy 6.853 0.000 1.402
Dy 8.379 0.000 7.220
Dy 5.476 -1.774 7.140
Dy 5.398 -2.966 2.247
Dy 9.756 -1.774 1.482
Dy 14.232 0.000 5.391
Dy 9.834 -2.966 6.375
Ho 7.616 1.594 4.311
Ho 7.616 -1.594 4.311
```

=====

Stability summary - winner: #a; margin: 103 meV/atom.

=====

#a
A relaxed Sm2Dy4Ho crystal. Source: Alexandria, functional PBE.

Properties
- Space group: P2_1/m, No. 11
- ρ: 8.2 Mg/m³
- N(E_F): 11.9 states/eV/f.u.

Geometry as extended XYZ:
```
14
Lattice="6.074 0.000 0.000 0.000 6.608 0.000 -2.827 0.000 11.229" Properties=species:S:1:pos:R:3 pbc="T T T"
Sm -0.792 1.652 5.565
Sm 1.092 1.652 0.773
Sm 2.154 4.956 10.456
Sm 4.038 4.956 5.664
Dy -1.337 0.032 8.850
Dy -1.337 3.272 8.850
Dy 1.962 4.956 0.655
Dy 1.106 4.956 7.278
Dy 2.141 1.652 3.951
Dy 1.284 1.652 10.574
Dy 4.584 3.336 2.379
Dy 4.584 6.576 2.379
Ho 1.162 4.956 3.876
Ho 2.085 1.652 7.353
```

=====

#b
A relaxed Sm2Dy4Ho crystal. Source: Alexandria, functional PBE.

Properties
- Space group: Cmce, No. 64
- ρ: 7.9 Mg/m³
- N(E_F): 9.4 states/eV/f.u.

Geometry as extended XYZ:
```
14
Lattice="1.876 -6.792 0.000 1.876 6.792 0.000 0.000 0.000 18.431" Properties=species:S:1:pos:R:3 pbc="T T T"
Sm 1.876 5.015 15.603
Sm 1.876 1.777 6.388
Sm 1.876 -1.777 12.043
Sm 1.876 -5.015 2.828
Dy 1.876 5.657 5.933
Dy 1.876 4.221 0.995
Dy 1.876 2.571 10.211
Dy 1.876 1.135 15.149
Dy 1.876 -1.135 3.282
Dy 1.876 -2.571 8.220
Dy 1.876 -4.221 17.435
Dy 1.876 -5.657 12.497
Ho 0.000 0.000 9.215
Ho 1.876 0.000 0.000
```

=====

Stability summary - winner: #a; margin: 70 meV/atom.

=====

#a
A relaxed Sm4Dy5Ho2 crystal. Source: Alexandria, functional PBE.

Properties
- Space group: C2/m, No. 12
- ρ: 8.1 Mg/m³
- N(E_F): 17.9 states/eV/f.u.

Geometry as extended XYZ:
```
11
Lattice="8.195 -2.847 0.000 8.195 2.847 0.000 -5.024 0.000 7.647" Properties=species:S:1:pos:R:3 pbc="T T T"
Sm -1.134 0.000 2.688
Sm 2.100 0.000 4.468
Sm 9.265 0.000 3.179
Sm 12.499 0.000 4.959
Dy 1.749 0.000 0.971
Dy -0.512 0.000 6.663
Dy 8.195 0.000 0.000
Dy 11.877 0.000 0.984
Dy 9.616 0.000 6.676
Ho 4.961 0.000 2.383
Ho 6.404 0.000 5.264
```

=====

#b
A relaxed Sm4Dy5Ho2 crystal. Source: Alexandria, functional PBE.

Properties
- Space group: Immm, No. 71
- ρ: 7.8 Mg/m³
- N(E_F): 17.0 states/eV/f.u.

Geometry as extended XYZ:
```
11
Lattice="-1.748 4.585 11.507 1.748 -4.585 11.507 1.748 4.585 -11.507" Properties=species:S:1:pos:R:3 pbc="T T T"
Sm 0.000 0.000 2.221
Sm 1.748 1.840 0.000
Sm 0.000 2.745 11.507
Sm 0.000 0.000 20.793
Dy 1.748 2.750 -3.397
Dy 1.748 2.750 3.397
Dy 0.000 4.585 0.000
Dy 0.000 1.836 8.110
Dy 0.000 1.836 14.904
Ho 0.000 0.000 5.301
Ho 0.000 0.000 17.713
```

=====

Stability summary - winner: #a; margin: 168 meV/atom.

=====

#a
A relaxed Sm6Dy2Ho crystal. Source: Alexandria, functional PBE.

Properties
- Space group: C2/m, No. 12
- ρ: 7.6 Mg/m³
- N(E_F): 13.4 states/eV/f.u.

Geometry as extended XYZ:
```
9
Lattice="6.584 -3.801 0.000 6.584 3.801 0.000 -0.001 0.000 6.079" Properties=species:S:1:pos:R:3 pbc="T T T"
Sm 5.332 2.150 4.793
Sm 4.102 0.000 1.287
Sm 7.835 2.150 1.286
Sm 5.332 -2.150 4.793
Sm 9.064 0.000 4.792
Sm 7.835 -2.150 1.286
Dy 2.188 0.000 4.353
Dy 10.978 0.000 1.726
Ho 6.583 0.000 3.040
```

=====

#b
A relaxed Sm6Dy2Ho crystal. Source: Alexandria, functional PBE.

Properties
- Space group: Cmmm, No. 65
- ρ: 7.7 Mg/m³
- N(E_F): 12.3 states/eV/f.u.

Geometry as extended XYZ:
```
9
Lattice="4.674 -8.795 0.000 4.674 8.795 0.000 0.000 0.000 3.641" Properties=species:S:1:pos:R:3 pbc="T T T"
Sm 1.653 2.894 0.000
Sm 1.721 0.000 1.820
Sm 1.653 -2.894 0.000
Sm 7.694 2.894 0.000
Sm 7.626 0.000 1.820
Sm 7.694 -2.894 0.000
Dy 4.674 3.144 1.820
Dy 4.674 -3.144 1.820
Ho 4.674 0.000 0.000
```

=====

Stability summary - winner: #b; margin: 86 meV/atom.

=====

#a
A relaxed Sm4Dy6Ho crystal. Source: Alexandria, functional PBE.

Properties
- Space group: I-42m, No. 121
- ρ: 7.8 Mg/m³
- N(E_F): 14.5 states/eV/f.u.

Geometry as extended XYZ:
```
11
Lattice="-3.303 3.303 8.523 3.303 -3.303 8.523 3.303 3.303 -8.523" Properties=species:S:1:pos:R:3 pbc="T T T"
Sm 2.057 2.057 -2.985
Sm 1.247 -1.247 11.508
Sm 1.247 1.247 5.538
Sm -1.247 1.247 11.508
Dy 3.303 0.000 0.000
Dy 2.125 -2.125 6.352
Dy 1.178 1.178 2.171
Dy 0.000 3.303 0.000
Dy -2.125 2.125 6.352
Dy 2.125 2.125 10.694
Ho 0.000 0.000 8.523
```

=====

#b
A relaxed Sm4Dy6Ho crystal. Source: Alexandria, functional PBE.

Properties
- Space group: I-42m, No. 121
- ρ: 7.6 Mg/m³
- N(E_F): 12.9 states/eV/f.u.

Geometry as extended XYZ:
```
11
Lattice="-3.810 3.810 6.582 3.810 -3.810 6.582 3.810 3.810 -6.582" Properties=species:S:1:pos:R:3 pbc="T T T"
Sm 2.492 2.492 -1.010
Sm 1.318 -1.318 7.591
Sm 1.318 1.318 5.572
Sm -1.318 1.318 7.591
Dy 3.810 0.000 0.000
Dy 1.995 -1.995 4.150
Dy 1.815 1.815 2.432
Dy 0.000 3.810 0.000
Dy -1.995 1.995 4.150
Dy 1.995 1.995 9.014
Ho 0.000 0.000 0.000
```

=====

Stability summary - winner: #a; margin: 140 meV/atom.